Entry 1:
The following is a PBE calculation of a geometry-optimized SrTl2Fe structure, from Alexandria.

abc: 3.813 3.815 7.665
angles: 90.00 90.00 90.00
Site moments in Bohr magnetons follow the coordinates.
Fractional positions:
Fe1 0.000 0.000 0.409  2.77
Sr1 0.500 0.500 0.736  -0.01
Tl1 0.000 0.000 0.040  0.01
Tl2 0.500 0.500 0.315  -0.05

Values from the calculation:
For the energy of formation, the calculation gives 0.303 eV per atom. As for the space group: P4mm (99). For the density of states at the Fermi level, the calculation gives 4.697 states/eV/f.u.

Entry 2:
The following is a PBE calculation of a geometry-optimized Tc2HgRh structure, from Alexandria.

abc: 2.758 2.758 8.322
angles: 90.00 90.00 90.01
Fractional positions:
Hg1 0.500 0.500 0.250
Rh1 0.500 0.500 0.750
Tc1 0.000 0.000 0.979
Tc2 0.000 0.000 0.521

Values from the calculation:
For the energy of formation, the calculation gives 0.364 eV per atom. As for the space group: P4/mmm (123). For the density of states at the Fermi level, the calculation gives 5.288 states/eV/f.u.

Entry 3:
The following is a PBE calculation of a geometry-optimized CaCuAg2 structure, from Alexandria.

abc: 4.213 3.720 5.610
angles: 72.01 90.00 90.00
Fractional positions:
Ca1 0.000 0.531 0.553
Cu1 0.500 0.949 0.734
Ag1 0.000 0.807 0.015
Ag2 0.500 0.213 0.198

Values from the calculation:
For the energy of formation, the calculation gives -0.032 eV per atom. The distance to the lowest polymorph of the same formula comes out at 0.29 eV per formula unit. As for the space group: Pm (6). For the density of states at the Fermi level, the calculation gives 1.466 states/eV/f.u.

Entry 4:
The following is a PBE calculation of a geometry-optimized TbDyO structure, from Alexandria.

abc: 3.526 3.526 5.787
angles: 90.00 90.00 120.00
Site moments in Bohr magnetons follow the coordinates.
Fractional positions:
Tb1 0.000 0.000 0.097  0.21
O1 0.667 0.333 0.336  0.00
Dy1 0.333 0.667 0.567  -0.21

Values from the calculation:
The value obtained for the uncorrected formation energy is -1.789 eV/atom. The distance to the lowest polymorph of the same formula comes out at 0.00 eV per formula unit. As for the space group: P3m1 (156). For the density of states at the Fermi level, the calculation gives 2.404 states/eV/f.u.

Number 1: total DFT energy (no corrections) -3.416 eV per atom. Number 2: total DFT energy (no corrections) -6.732 eV per atom. Number 3: total DFT energy (no corrections) -2.982 eV per atom. Number 4: total DFT energy (no corrections) -6.519 eV per atom.